[1]
Here is RbCl4F after structural relaxation from the Alexandria database. Energies are from PBE.

## Properties
total magnetic moment = 0.000 μB/atom
formation energy without anion corrections = -0.894 eV per atom

a b c (Å): 6.364 6.414 13.928
angles (deg): 94.17 93.92 135.33
Fractional coordinates of all 12 atoms:
Rb1 0.932 0.582 0.250
Rb2 0.068 0.418 0.750
Cl1 0.396 0.766 0.070
Cl2 0.349 0.479 0.151
Cl3 0.981 0.846 0.653
Cl4 0.275 0.896 0.573
Cl5 0.604 0.234 0.930
Cl6 0.651 0.521 0.849
Cl7 0.019 0.154 0.347
Cl8 0.725 0.104 0.427
F1 0.312 0.195 0.249
F2 0.688 0.805 0.751

***

[2]
Here is Zr2CoSi after structural relaxation from the Alexandria database. Energies are from PBE.

## Properties
total magnetic moment = 0.151 μB/atom
formation energy without anion corrections = -0.364 eV per atom

a b c (Å): 3.699 3.175 6.602
angles (deg): 61.20 90.00 90.00
Fractional coordinates of all 4 atoms:
Co1 0.500 0.250 0.250
Si1 0.500 0.750 0.750
Zr1 0.000 0.994 0.005
Zr2 0.000 0.506 0.495

***

[3]
Here is LiThScMo after structural relaxation from the Alexandria database. Energies are from PBE.

## Properties
total magnetic moment = 0.000 μB/atom
energy of formation from the pure elements = 9.4 kJ per mole of atoms

a b c (Å): 4.909 4.909 4.909
angles (deg): 60.00 60.00 60.00
Fractional coordinates of all 4 atoms:
Sc1 0.250 0.250 0.250
Mo1 0.500 0.500 0.500
Th1 0.750 0.750 0.750
Li1 0.000 0.000 0.000

***

[4]
Here is BaTaAs2 after structural relaxation from the Alexandria database. Energies are from PBE.

## Properties
total magnetic moment = 0.219 μB/atom
ΔE to the lowest computed polymorph = 151 kJ/mol of formula units
energy of formation from the pure elements = -21.9 kJ per mole of atoms

a b c (Å): 5.937 5.937 5.937
angles (deg): 143.97 110.83 80.54
Fractional coordinates of all 4 atoms:
As1 0.050 0.050 0.000
As2 0.450 0.450 0.000
Ba1 0.750 0.250 0.500
Ta1 0.250 0.750 0.500

***

[5]
Here is Nd2DyHo5Tm after structural relaxation from the Alexandria database. Energies are from PBE.

## Properties
total magnetic moment = 0.000 μB/atom
energy of formation from the pure elements = 26.8 kJ per mole of atoms

a b c (Å): 8.573 8.573 9.932
angles (deg): 115.57 115.57 90.00
Fractional coordinates of all 18 atoms:
Nd1 0.118 0.382 0.000
Nd2 0.618 0.118 0.000
Nd3 0.382 0.882 0.000
Nd4 0.882 0.618 0.000
Dy1 0.250 0.250 0.500
Dy2 0.750 0.750 0.500
Ho1 0.927 0.427 0.282
Ho2 0.645 0.145 0.718
Ho3 0.073 0.573 0.718
Ho4 0.145 0.073 0.718
Ho5 0.573 0.645 0.718
Ho6 0.855 0.927 0.282
Ho7 0.427 0.355 0.282
Ho8 0.355 0.855 0.282
Ho9 0.500 0.500 0.000
Ho10 0.000 0.000 0.000
Tm1 0.250 0.750 0.500
Tm2 0.750 0.250 0.500

***

Q: The highest total magnetic moment belongs to which entry?
A: BaTaAs2